# 1
Entry from Alexandria via LeMat-Bulk: a geometry-optimized NbWN2 structure (PBE).

Cell and atoms, written as CIF:
```
data_NbWN2
_chemical_formula_sum 'Nb4 W4 N8'
_space_group_name_H-M_alt 'F m -3 m'
_space_group_IT_number 225
_space_group_name_Hall '-F 4 2 3'
_cell_length_a 5.487
_cell_length_b 5.487
_cell_length_c 5.487
_cell_angle_alpha 90.00
_cell_angle_beta 90.00
_cell_angle_gamma 90.00
loop_
_atom_site_label
_atom_site_type_symbol
_atom_site_fract_x
_atom_site_fract_y
_atom_site_fract_z
Nb1 Nb 0.000 0.000 0.000
W1 W 0.000 0.000 0.500
N1 N 0.250 0.250 0.250
```

Results
DFT total energy, eV per atom: -9.786
ΔE_f (raw), eV/atom: 0.13
Energy above the lowest structure with this stoichiometry, meV/atom: 700

# 2
Entry from Alexandria via LeMat-Bulk: a geometry-optimized NbWN2 structure (PBE).

Cell and atoms, written as CIF:
```
data_NbWN2
_chemical_formula_sum 'Nb3 W3 N6'
_space_group_name_H-M_alt 'R 3 m'
_space_group_IT_number 160
_space_group_name_Hall 'R 3 -2"'
_cell_length_a 2.9014
_cell_length_b 2.9014
_cell_length_c 17.5671
_cell_angle_alpha 90.00
_cell_angle_beta 90.00
_cell_angle_gamma 120.00
loop_
_atom_site_label
_atom_site_type_symbol
_atom_site_fract_x
_atom_site_fract_y
_atom_site_fract_z
Nb1 Nb 0.0000 0.0000 0.0000
W1 W 0.0000 0.0000 0.1665
N1 N 0.0000 0.0000 0.4237
N2 N 0.0000 0.0000 0.5755
```

Results
DFT total energy, eV per atom: -10.486
ΔE_f (raw), eV/atom: -0.57
Energy above the lowest structure with this stoichiometry, meV/atom: 0

- Among the records above, which one has the lowest ΔE_f (raw)?
  number 2

- Look up the energy above the lowest structure with this stoichiometry of the second one.
  0 meV/atom

- Which of these has the highest DFT total energy?
  number 1

- Among the records above, which one has the highest ΔE_f (raw)?
  number 1